Density functional theory data (PBE) for Na2SnPd2 after structural relaxation. Values from VASP.

Energy = -18.7 eV per formula unit
Formation energy from the elements = -338.7 meV/atom
Fermi-level density of states = 1.20 states/eV/f.u.
Distance to the lowest polymorph of the same formula = 0.000 eV/atom

Structure (Quantum ESPRESSO input):
```
&SYSTEM
  ibrav = 0, nat = 5, ntyp = 3
/
ATOMIC_SPECIES
Na 22.99 Na.upf
Pd 106.42 Pd.upf
Sn 118.71 Sn.upf
CELL_PARAMETERS angstrom
-4.380 -0.133 1.504
2.480 -3.905 -0.261
1.911 0.837 5.638
ATOMIC_POSITIONS angstrom
Na 1.392 -2.123 3.865
Na -1.382 -1.079 3.016
Pd 0.374 -2.569 0.862
Pd -0.364 -0.633 6.020
Sn 0.000 0.000 0.000
```


Density functional theory data (PBE) for MnV2 after structural relaxation. Values from VASP.

Energy = -27.6 eV per formula unit
Formation energy from the elements = -56.2 meV/atom
Fermi-level density of states = 1.88 states/eV/f.u.

Structure (Quantum ESPRESSO input):
```
&SYSTEM
  ibrav = 0, nat = 6, ntyp = 2
/
ATOMIC_SPECIES
Mn 54.94 Mn.upf
V 50.94 V.upf
CELL_PARAMETERS angstrom
-1.532 0.264 -1.967
-6.308 -4.180 1.146
-0.283 2.978 3.809
ATOMIC_POSITIONS angstrom
Mn -0.766 0.132 -0.983
Mn -3.295 -0.601 2.477
V -3.859 1.834 2.306
V -1.382 0.827 1.848
V -4.264 -2.772 0.682
V -6.741 -1.766 1.139
```


Density functional theory data (PBE) for ZrAl2Co2 after structural relaxation. Values from VASP.

Energy = -32.3 eV per formula unit
Formation energy from the elements = -406.5 meV/atom
Fermi-level density of states = 5.93 states/eV/f.u.
Distance to the lowest polymorph of the same formula = 0.000 eV/atom

Structure (Quantum ESPRESSO input):
```
&SYSTEM
  ibrav = 0, nat = 10, ntyp = 3
/
ATOMIC_SPECIES
Al 26.98 Al.upf
Co 58.93 Co.upf
Zr 91.22 Zr.upf
CELL_PARAMETERS angstrom
7.122 0.000 0.000
0.000 7.122 0.000
0.000 0.000 2.797
ATOMIC_POSITIONS angstrom
Al 4.584 6.100 1.398
Al 1.023 4.584 1.398
Al 2.538 1.023 1.398
Al 6.100 2.538 1.398
Co 2.498 6.059 0.000
Co 4.625 1.064 0.000
Co 6.059 4.625 0.000
Co 1.064 2.498 0.000
Zr 0.000 0.000 0.000
Zr 3.561 3.561 0.000
```


In order of appearance, size of the total moment = 0.00, 0.00, 0.00 μB per formula unit.
In order of appearance, volume = 112, 75, 142 Å³/cell.